Th8P3C3N: relaxed, GGA-PBE.

Unit cell a=7.9804 b=7.9804 c=7.9804 alpha=58.12 beta=58.12 gamma=58.12
Fractional positions:
1 Th 0.2394 0.7387 0.7387
2 Th 0.2400 0.2400 0.2400
3 Th 0.2613 0.2613 0.7605
4 Th 0.2613 0.7606 0.2613
5 Th 0.7387 0.2394 0.7387
6 Th 0.7387 0.7387 0.2394
7 Th 0.7600 0.7600 0.7600
8 Th 0.7605 0.2613 0.2613
9 P 0.0000 0.5000 0.5000
10 P 0.5000 0.0000 0.5000
11 P 0.5000 0.5000 0.0000
12 C 0.0000 0.0000 0.5000
13 C 0.0000 0.5000 0.0000
14 C 0.5000 0.0000 0.0000
15 N 0.5000 0.5000 0.5000

DOS at the Fermi energy = 9.41 states/eV/cell
Theoretical density = 9.65 g cm⁻³
Energy relative to the elements, uncorrected = -20.40 kcal/mol of atoms